DFT (PBE) results for a relaxed structure of LiPa3Pt4.

Calculated values
Magnetization in μB per atom: 0.00
Calculated volume in Å³/f.u.: 158.3
ΔH_f (0 K) in meV per atom: -888

abc: 7.335 7.335 5.316
angles: 105.50 105.50 35.21
Fractional coordinates of all 8 atoms:
Li 0.000 0.000 0.000
Pa 0.233 0.233 0.307
Pa 0.500 0.500 0.500
Pa 0.767 0.767 0.693
Pt 0.135 0.135 0.741
Pt 0.390 0.390 0.911
Pt 0.610 0.610 0.089
Pt 0.865 0.865 0.259

=====

DFT (PBE) results for a relaxed structure of KRbAsBr2.

Calculated values
Energy above the lowest structure with this stoichiometry in meV per atom: 98
Raw formation energy in eV per atom: -0.47
Magnetization in μB per atom: 0.61
Calculated volume in Å³/f.u.: 273.5

abc: 6.518 6.518 6.438
angles: 90.00 90.00 90.00
Fractional coordinates of all 5 atoms:
K 0.000 0.000 0.000
Rb 0.500 0.500 0.500
As 0.500 0.500 0.000
Br 0.000 0.500 0.500
Br 0.500 0.000 0.500

=====

DFT (PBE) results for a relaxed structure of Pm2Al12Pt7.

Calculated values
Magnetization in μB per atom: 0.00
Calculated volume in Å³/f.u.: 361.6
ΔH_f (0 K) in meV per atom: -1007

abc: 9.982 9.982 4.190
angles: 90.00 90.00 120.00
Fractional coordinates of all 21 atoms:
Pm 0.000 0.000 0.000
Pm 0.333 0.667 0.500
Al 0.023 0.741 0.500
Al 0.139 0.389 0.000
Al 0.250 0.861 0.000
Al 0.259 0.281 0.500
Al 0.376 0.177 0.000
Al 0.538 0.120 0.500
Al 0.582 0.462 0.500
Al 0.611 0.750 0.000
Al 0.719 0.977 0.500
Al 0.802 0.624 0.000
Al 0.823 0.198 0.000
Al 0.880 0.418 0.500
Pt 0.033 0.582 0.000
Pt 0.247 0.013 0.500
Pt 0.418 0.452 0.000
Pt 0.548 0.967 0.000
Pt 0.667 0.333 0.000
Pt 0.766 0.753 0.500
Pt 0.987 0.234 0.500

=====

Please write out number 3 again, unchanged.
DFT (PBE) results for a relaxed structure of Pm2Al12Pt7.

Calculated values
Magnetization in μB per atom: 0.00
Calculated volume in Å³/f.u.: 361.6
ΔH_f (0 K) in meV per atom: -1007

abc: 9.982 9.982 4.190
angles: 90.00 90.00 120.00
Fractional coordinates of all 21 atoms:
Pm 0.000 0.000 0.000
Pm 0.333 0.667 0.500
Al 0.023 0.741 0.500
Al 0.139 0.389 0.000
Al 0.250 0.861 0.000
Al 0.259 0.281 0.500
Al 0.376 0.177 0.000
Al 0.538 0.120 0.500
Al 0.582 0.462 0.500
Al 0.611 0.750 0.000
Al 0.719 0.977 0.500
Al 0.802 0.624 0.000
Al 0.823 0.198 0.000
Al 0.880 0.418 0.500
Pt 0.033 0.582 0.000
Pt 0.247 0.013 0.500
Pt 0.418 0.452 0.000
Pt 0.548 0.967 0.000
Pt 0.667 0.333 0.000
Pt 0.766 0.753 0.500
Pt 0.987 0.234 0.500